Rb2CaCoMo | PBE-GGA | relaxed

Values from the calculation:
Total magnetic moment, μB/f.u.: 6.06
Total energy, eV/atom: -2.8427
Calculated formation energy, eV/atom: 1.532

abc: 6.3006 6.3006 5.5066
angles: 90.00 90.00 90.00
Last column: nearest neighbours and their distance in Å.
Space group P4/mmm (No. 123)
Inequivalent atoms, fractional coordinates:
Rb 0.0000 0.5000 0.0000 (multiplicity 2)  2 Co 3.15
Ca 0.0000 0.0000 0.5000 (multiplicity 1)  2 Co 2.75
Co 0.0000 0.0000 0.0000 (multiplicity 1)  2 Ca 2.75
Mo 0.5000 0.5000 0.5000 (multiplicity 1)  8 Rb 4.18, 4 Ca 4.46